Version a
Compound: BeCuOs
Source: Alexandria via LeMat-Bulk
Functional: PBE
Structure: relaxed

Geometry as extended XYZ:
```
6
Lattice="-1.393 -2.262 -0.380 2.169 -1.155 -1.079 2.380 -1.513 9.743" Properties=species:S:1:pos:R:3 pbc="T T T"
Be 0.749 -0.871 2.438
Cu 1.532 -3.040 2.996
Cu 1.624 -1.890 5.288
Os 0.720 -2.095 0.353
Be 2.407 -4.058 5.846
Os 2.436 -2.834 7.931
```

Calculated values
The value obtained for the density of states at the Fermi level is 3.54 states/eV per cell. The total magnetization is 0.0000 μB per atom.


Version b
Compound: BeCuOs
Source: Alexandria via LeMat-Bulk
Functional: PBE
Structure: relaxed

Geometry as extended XYZ:
```
3
Lattice="-3.619 1.192 -1.018 0.511 -2.225 3.216 0.303 2.145 1.436" Properties=species:S:1:pos:R:3 pbc="T T T"
Be 0.051 0.359 0.240
Cu -2.192 0.409 0.632
Os -0.664 0.344 2.762
```

Calculated values
The value obtained for the density of states at the Fermi level is 2.55 states/eV per cell. The total magnetization is 0.0000 μB per atom.


Short version: version a, version b, most stable first.